1.
Entry from Alexandria: a geometry-optimized Tl12CdIn2 structure (PBE).

a = 6.650 Å, b = 6.650 Å, c = 22.726 Å
α = 90.00°, β = 90.00°, γ = 90.00°
Element x y z (fractional)
Tl1 0.001 0.501 0.093
Tl2 0.001 0.999 0.907
Tl3 0.078 0.578 0.435
Tl4 0.078 0.922 0.565
Tl5 0.250 0.250 0.199
Tl6 0.250 0.250 0.334
Tl7 0.250 0.250 0.666
Tl8 0.250 0.250 0.801
Tl9 0.422 0.578 0.565
Tl10 0.422 0.922 0.435
Tl11 0.499 0.501 0.907
Tl12 0.499 0.999 0.093
Tl13 0.501 0.001 0.907
Tl14 0.501 0.499 0.093
Tl15 0.578 0.078 0.565
Tl16 0.578 0.422 0.435
Tl17 0.750 0.750 0.199
Tl18 0.750 0.750 0.334
Tl19 0.750 0.750 0.666
Tl20 0.750 0.750 0.801
Tl21 0.922 0.078 0.435
Tl22 0.922 0.422 0.565
Tl23 0.999 0.001 0.093
Tl24 0.999 0.499 0.907
Cd1 0.250 0.750 0.000
Cd2 0.750 0.250 0.000
In1 0.250 0.750 0.216
In2 0.250 0.750 0.784
In3 0.750 0.250 0.216
In4 0.750 0.250 0.784

- Energy of formation: 1.9 eV per formula unit
- Spin magnetization: 0.0000 μB/atom
- E: -2.1949 eV per atom
- Space group: No. 125

2.
Entry from Alexandria: a geometry-optimized U2CuGe2O18 structure (PBE).

a = 8.625 Å, b = 8.625 Å, c = 6.978 Å
α = 112.94°, β = 112.94°, γ = 47.86°
Element x y z (fractional)
U1 0.246 0.246 0.359
U2 0.754 0.754 0.641
Cu1 0.000 0.000 0.000
Ge1 0.299 0.299 0.880
Ge2 0.701 0.701 0.120
O1 0.061 0.061 0.637
O2 0.079 0.444 0.685
O3 0.110 0.110 0.246
O4 0.149 0.851 0.500
O5 0.238 0.238 0.040
O6 0.265 0.735 0.000
O7 0.373 0.373 0.478
O8 0.422 0.422 0.057
O9 0.444 0.079 0.685
O10 0.556 0.921 0.315
O11 0.578 0.578 0.943
O12 0.627 0.627 0.522
O13 0.735 0.265 0.000
O14 0.762 0.762 0.960
O15 0.851 0.149 0.500
O16 0.890 0.890 0.754
O17 0.921 0.556 0.315
O18 0.939 0.939 0.363

- Spin magnetization: 0.2202 μB/atom
- E: -6.4805 eV per atom
- Energy relative to the elements, uncorrected: -1039 meV/atom
- Space group: No. 12
- Relative energy among the computed polymorphs: 31 meV/atom

3.
Entry from Alexandria: a geometry-optimized TiCd3Si structure (PBE).

a = 4.978 Å, b = 4.978 Å, c = 4.978 Å
α = 90.00°, β = 90.00°, γ = 90.00°
Element x y z (fractional)
Ti1 0.000 0.000 0.000
Cd1 0.000 0.500 0.500
Cd2 0.500 0.000 0.500
Cd3 0.500 0.500 0.000
Si1 0.500 0.500 0.500

- Spin magnetization: 0.0005 μB/atom
- E: -2.3609 eV per atom
- Energy relative to the elements, uncorrected: 852 meV/atom
- Space group: No. 221
- Relative energy among the computed polymorphs: 0 meV/atom

4.
Entry from Alexandria: a geometry-optimized TbTe4Pb2 structure (PBE).

a = 7.896 Å, b = 7.896 Å, c = 14.701 Å
α = 90.00°, β = 90.00°, γ = 147.66°
Element x y z (fractional)
Tb1 0.107 0.893 0.750
Tb2 0.893 0.107 0.250
Te1 0.000 0.000 0.000
Te2 0.000 0.000 0.500
Te3 0.286 0.714 0.137
Te4 0.286 0.714 0.363
Te5 0.464 0.536 0.750
Te6 0.536 0.464 0.250
Te7 0.714 0.286 0.637
Te8 0.714 0.286 0.863
Pb1 0.366 0.634 0.565
Pb2 0.366 0.634 0.935
Pb3 0.634 0.366 0.065
Pb4 0.634 0.366 0.435

- Spin magnetization: 0.0000 μB/atom
- E: -4.1309 eV per atom
- Energy relative to the elements, uncorrected: -615 meV/atom
- Space group: No. 63

5.
Entry from Alexandria: a geometry-optimized Ce4Tc3C5 structure (PBE).

a = 6.295 Å, b = 6.295 Å, c = 9.675 Å
α = 114.71°, β = 114.71°, γ = 36.12°
Element x y z (fractional)
Ce1 0.102 0.102 0.407
Ce2 0.262 0.262 0.829
Ce3 0.738 0.738 0.171
Ce4 0.898 0.898 0.593
Tc1 0.000 0.000 0.000
Tc2 0.452 0.452 0.179
Tc3 0.548 0.548 0.821
C1 0.297 0.297 0.390
C2 0.383 0.383 0.334
C3 0.500 0.500 0.000
C4 0.617 0.617 0.666
C5 0.703 0.703 0.610

- Energy of formation: -1.3 eV per formula unit
- Spin magnetization: 0.0003 μB/atom
- E: -8.5176 eV per atom
- Space group: No. 12

6.
Entry from Alexandria: a geometry-optimized PuAg2F8 structure (PBE).

a = 5.795 Å, b = 5.795 Å, c = 6.477 Å
α = 109.83°, β = 109.83°, γ = 103.77°
Element x y z (fractional)
Pu1 0.000 0.000 0.000
Ag1 0.251 0.749 0.500
Ag2 0.749 0.251 0.500
F1 0.094 0.666 0.761
F2 0.107 0.107 0.758
F3 0.334 0.906 0.239
F4 0.349 0.349 0.242
F5 0.651 0.651 0.758
F6 0.666 0.094 0.761
F7 0.893 0.893 0.242
F8 0.906 0.334 0.239

- Spin magnetization: 0.1787 μB/atom
- E: -5.3400 eV per atom
- Energy relative to the elements, uncorrected: -2158 meV/atom
- Space group: No. 12
- Relative energy among the computed polymorphs: 0 meV/atom

7.
Entry from Alexandria: a geometry-optimized Ba2CaMg structure (PBE).

a = 7.697 Å, b = 7.697 Å, c = 6.523 Å
α = 114.81°, β = 114.81°, γ = 32.93°
Element x y z (fractional)
Ba1 0.000 0.000 0.000
Ba2 0.206 0.206 0.704
Ca1 0.782 0.782 0.279
Mg1 0.481 0.481 0.481

- Energy of formation: 0.0 eV per formula unit
- Spin magnetization: 0.0000 μB/atom
- E: -1.8485 eV per atom
- Space group: No. 8

8.
Entry from Alexandria: a geometry-optimized YMgAu4 structure (PBE).

a = 5.584 Å, b = 5.584 Å, c = 5.584 Å
α = 60.00°, β = 60.00°, γ = 60.00°
Element x y z (fractional)
Y1 0.000 0.000 0.000
Mg1 0.250 0.250 0.250
Au1 0.126 0.625 0.625
Au2 0.625 0.126 0.625
Au3 0.625 0.625 0.126
Au4 0.625 0.625 0.625

- Energy of formation: -2.9 eV per formula unit
- Spin magnetization: 0.0000 μB/atom
- E: -4.0188 eV per atom
- Space group: No. 216
- Relative energy among the computed polymorphs: 157 meV/atom

9.
Entry from Alexandria: a geometry-optimized HoUTl2Se4 structure (PBE).

a = 7.236 Å, b = 4.176 Å, c = 8.191 Å
α = 90.00°, β = 107.08°, γ = 90.00°
Element x y z (fractional)
Ho1 0.000 0.000 0.000
U1 0.500 0.500 0.000
Tl1 0.000 0.500 0.500
Tl2 0.500 0.000 0.500
Se1 0.232 0.500 0.204
Se2 0.263 0.000 0.795
Se3 0.737 0.000 0.205
Se4 0.768 0.500 0.796

- Spin magnetization: 0.3754 μB/atom
- E: -5.4305 eV per atom
- Energy relative to the elements, uncorrected: -1113 meV/atom
- Space group: No. 10

10.
Entry from Alexandria: a geometry-optimized CeZn2Ni2 structure (PBE).

a = 5.069 Å, b = 5.069 Å, c = 4.839 Å
α = 106.68°, β = 106.68°, γ = 45.63°
Element x y z (fractional)
Ce1 0.000 0.000 0.000
Zn1 0.350 0.350 0.422
Zn2 0.650 0.650 0.578
Ni1 0.282 0.282 0.875
Ni2 0.718 0.718 0.125

- Energy of formation: -1.6 eV per formula unit
- Spin magnetization: 0.0000 μB/atom
- E: -4.3321 eV per atom
- Space group: No. 12
- Relative energy among the computed polymorphs: 0 meV/atom

11.
Entry from Alexandria: a geometry-optimized Y2Au structure (PBE).

a = 7.783 Å, b = 7.783 Å, c = 5.570 Å
α = 90.00°, β = 90.00°, γ = 150.08°
Element x y z (fractional)
Y1 0.069 0.931 0.750
Y2 0.364 0.636 0.750
Y3 0.636 0.364 0.250
Y4 0.931 0.069 0.250
Au1 0.286 0.714 0.250
Au2 0.714 0.286 0.750

- Energy of formation: -1.4 eV per formula unit
- Spin magnetization: 0.0000 μB/atom
- E: -5.8653 eV per atom
- Space group: No. 63

12.
Entry from Alexandria: a geometry-optimized KTl2BiBr6 structure (PBE).

a = 8.202 Å, b = 8.210 Å, c = 8.476 Å
α = 90.03°, β = 118.93°, γ = 119.96°
Element x y z (fractional)
K1 0.000 0.000 0.000
Tl1 0.574 0.287 0.861
Tl2 0.591 0.796 0.386
Bi1 0.983 0.492 0.474
Br1 0.078 0.385 0.217
Br2 0.083 0.247 0.696
Br3 0.449 0.836 0.696
Br4 0.525 0.140 0.217
Br5 0.832 0.692 0.217
Br6 0.860 0.613 0.696

- Spin magnetization: 0.0000 μB/atom
- E: -2.9768 eV per atom
- Energy relative to the elements, uncorrected: -1002 meV/atom
- Space group: No. 1

13.
Entry from Alexandria: a geometry-optimized MgGa2I structure (PBE).

a = 8.602 Å, b = 8.602 Å, c = 8.602 Å
α = 136.81°, β = 136.81°, γ = 62.73°
Element x y z (fractional)
Mg1 0.000 0.000 0.000
Mg2 0.750 0.250 0.500
Ga1 0.080 0.625 0.955
Ga2 0.375 0.330 0.455
Ga3 0.670 0.125 0.045
Ga4 0.875 0.920 0.545
I1 0.250 0.750 0.500
I2 0.500 0.500 0.000

- Spin magnetization: 0.0000 μB/atom
- E: -2.0783 eV per atom
- Energy relative to the elements, uncorrected: 221 meV/atom
- Space group: No. 122
- Relative energy among the computed polymorphs: 28 meV/atom

14.
Entry from Alexandria: a geometry-optimized HfTeNF2 structure (PBE).

a = 4.580 Å, b = 4.580 Å, c = 4.170 Å
α = 90.00°, β = 90.00°, γ = 90.00°
Element x y z (fractional)
Hf1 0.000 0.000 0.000
Te1 0.500 0.500 0.500
N1 0.500 0.500 0.000
F1 0.000 0.500 0.500
F2 0.500 0.000 0.500

- Spin magnetization: 0.2306 μB/atom
- E: -4.8168 eV per atom
- Energy relative to the elements, uncorrected: 216 meV/atom
- Space group: No. 123
- Relative energy among the computed polymorphs: 1741 meV/atom

15.
Entry from Alexandria: a geometry-optimized K3Rb3DyBr8 structure (PBE).

a = 9.753 Å, b = 9.753 Å, c = 9.753 Å
α = 59.13°, β = 59.13°, γ = 59.13°
Element x y z (fractional)
K1 0.000 0.500 0.500
K2 0.500 0.000 0.500
K3 0.500 0.500 0.000
Rb1 0.000 0.000 0.500
Rb2 0.000 0.500 0.000
Rb3 0.500 0.000 0.000
Dy1 0.000 0.000 0.000
Br1 0.211 0.211 0.781
Br2 0.211 0.781 0.211
Br3 0.219 0.789 0.789
Br4 0.254 0.254 0.254
Br5 0.746 0.746 0.746
Br6 0.781 0.211 0.211
Br7 0.789 0.219 0.789
Br8 0.789 0.789 0.219

- Spin magnetization: 0.0404 μB/atom
- E: -3.2932 eV per atom
- Energy relative to the elements, uncorrected: -1681 meV/atom
- Space group: No. 166

16.
Entry from Alexandria: a geometry-optimized CaSmHo2Te4 structure (PBE).

a = 7.615 Å, b = 4.371 Å, c = 7.655 Å
α = 90.00°, β = 109.04°, γ = 90.00°
Element x y z (fractional)
Ca1 0.000 0.000 0.000
Sm1 0.000 0.500 0.500
Ho1 0.500 0.000 0.500
Ho2 0.500 0.500 0.000
Te1 0.257 0.000 0.755
Te2 0.257 0.500 0.251
Te3 0.743 0.000 0.245
Te4 0.743 0.500 0.749

- Spin magnetization: 0.0000 μB/atom
- E: -4.9283 eV per atom
- Energy relative to the elements, uncorrected: -1373 meV/atom
- Space group: No. 10

17.
Entry from Alexandria: a geometry-optimized TbY2ErSc2 structure (PBE).

a = 6.815 Å, b = 9.431 Å, c = 5.463 Å
α = 90.00°, β = 90.00°, γ = 90.00°
Element x y z (fractional)
Tb1 0.000 0.000 0.000
Tb2 0.500 0.500 0.500
Y1 0.249 0.334 0.000
Y2 0.251 0.834 0.500
Y3 0.749 0.166 0.500
Y4 0.751 0.666 0.000
Er1 0.000 0.500 0.500
Er2 0.500 0.000 0.000
Sc1 0.250 0.167 0.500
Sc2 0.250 0.667 0.000
Sc3 0.750 0.333 0.000
Sc4 0.750 0.833 0.500

- Energy of formation: 0.4 eV per formula unit
- Spin magnetization: 0.0001 μB/atom
- E: -5.7231 eV per atom
- Space group: No. 58

18.
Entry from Alexandria: a geometry-optimized Er2TeSe structure (PBE).

a = 5.775 Å, b = 6.255 Å, c = 11.569 Å
α = 90.00°, β = 90.00°, γ = 90.00°
Element x y z (fractional)
Er1 0.000 0.188 0.132
Er2 0.000 0.189 0.615
Er3 0.000 0.811 0.385
Er4 0.000 0.812 0.868
Er5 0.500 0.188 0.368
Er6 0.500 0.189 0.885
Er7 0.500 0.811 0.115
Er8 0.500 0.812 0.632
Te1 0.000 0.303 0.873
Te2 0.000 0.697 0.127
Te3 0.500 0.303 0.627
Te4 0.500 0.697 0.373
Se1 0.000 0.270 0.374
Se2 0.000 0.730 0.626
Se3 0.500 0.270 0.126
Se4 0.500 0.730 0.874

- Spin magnetization: 0.0000 μB/atom
- E: -5.3659 eV per atom
- Energy relative to the elements, uncorrected: -1428 meV/atom
- Space group: No. 53
- Relative energy among the computed polymorphs: 79 meV/atom

19.
Entry from Alexandria: a geometry-optimized PuBe2CdO6 structure (PBE).

a = 6.986 Å, b = 6.986 Å, c = 5.530 Å
α = 107.49°, β = 107.49°, γ = 84.76°
Element x y z (fractional)
Pu1 0.213 0.787 0.750
Pu2 0.787 0.213 0.250
Be1 0.143 0.271 0.655
Be2 0.271 0.143 0.155
Be3 0.729 0.857 0.845
Be4 0.857 0.729 0.345
Cd1 0.412 0.588 0.250
Cd2 0.588 0.412 0.750
O1 0.110 0.207 0.326
O2 0.111 0.687 0.373
O3 0.207 0.110 0.826
O4 0.264 0.480 0.806
O5 0.313 0.889 0.127
O6 0.480 0.264 0.306
O7 0.520 0.736 0.694
O8 0.687 0.111 0.873
O9 0.736 0.520 0.194
O10 0.793 0.890 0.174
O11 0.889 0.313 0.627
O12 0.890 0.793 0.674

- Spin magnetization: 0.2000 μB/atom
- E: -7.4369 eV per atom
- Energy relative to the elements, uncorrected: -2192 meV/atom
- Space group: No. 15

20.
Entry from Alexandria: a geometry-optimized Y8Cd3Os2 structure (PBE).

a = 10.268 Å, b = 10.268 Å, c = 4.103 Å
α = 92.45°, β = 92.45°, γ = 55.14°
Element x y z (fractional)
Y1 0.018 0.625 0.257
Y2 0.073 0.073 0.249
Y3 0.346 0.346 0.800
Y4 0.375 0.982 0.743
Y5 0.625 0.018 0.257
Y6 0.654 0.654 0.200
Y7 0.927 0.927 0.751
Y8 0.982 0.375 0.743
Cd1 0.279 0.721 0.000
Cd2 0.500 0.500 0.500
Cd3 0.721 0.279 0.000
Os1 0.236 0.236 0.261
Os2 0.764 0.764 0.739

- Energy of formation: -1.8 eV per formula unit
- Spin magnetization: 0.0000 μB/atom
- E: -6.0580 eV per atom
- Space group: No. 12